Entry from Alexandria via LeMat-Bulk: CoTcBr after structural relaxation (PBE-GGA).

Geometry as POSCAR:
```
CoTcBr
1.0
0.000 2.928 2.928
2.928 0.000 2.928
2.928 2.928 0.000
Co Tc Br
1 1 1
Direct
0.000 0.000 0.000
0.750 0.750 0.750
0.500 0.500 0.500
```

Computed properties:
- energy relative to the lowest polymorph listed for this composition (meV/atom) = 245
- space-group type = No. 216
- raw formation energy (eV/f.u.) = 2.70

***

Entry from Alexandria via LeMat-Bulk: Pu2CdAu after structural relaxation (PBE-GGA).

Geometry as POSCAR:
```
Pu2CdAu
1.0
4.418 0.000 0.000
0.000 4.418 0.000
0.000 0.000 4.794
Pu Cd Au
2 1 1
Direct
0.000 0.500 0.000
0.500 0.000 0.000
0.000 0.000 0.500
0.500 0.500 0.500
```

Computed properties:
- energy relative to the lowest polymorph listed for this composition (meV/atom) = 0
- space-group type = No. 123
- DFT formation energy (eV/atom) = -0.186

***

Entry from Alexandria via LeMat-Bulk: TiNiPt2Pb after structural relaxation (PBE-GGA).

Geometry as POSCAR:
```
TiNiPt2Pb
1.0
4.832 0.000 0.000
0.000 4.832 0.000
0.000 0.000 4.473
Ti Ni Pt Pb
1 1 2 1
Direct
0.000 0.000 0.000
0.000 0.000 0.500
0.000 0.500 0.000
0.500 0.000 0.000
0.500 0.500 0.500
```

Computed properties:
- space-group type = No. 123
- DFT formation energy (eV/atom) = 0.376

***

Spin magnetization list, top to bottom, in μB/cell: 0.00, 11.73, 0.00